A relaxed structure of PrDy3TmSc. Source: Alexandria, functional GGA-PBE.

a b c (Å): 7.848 7.848 9.991
angles (deg): 90.00 90.00 143.15
Positions (direct):
Pr 0.003 0.997 0.750
Pr 0.997 0.003 0.250
Dy 0.168 0.832 0.000
Dy 0.168 0.832 0.500
Dy 0.330 0.670 0.750
Dy 0.670 0.330 0.250
Dy 0.832 0.168 0.000
Dy 0.832 0.168 0.500
Tm 0.500 0.500 0.000
Tm 0.500 0.500 0.500
Sc 0.331 0.669 0.250
Sc 0.669 0.331 0.750

Output
space group: Cmcm, No. 63
ρ: 7.6 g/cm3
ΔE_f: 0.040 eV per atom
density of states at the Fermi level: 17.79 states/eV/cell